This record from the Alexandria database describes a geometry-optimized Sn2HgAs structure. The functional is GGA-PBE. Values from VASP.

Quantum ESPRESSO input file:
```
&SYSTEM
  ibrav = 0, nat = 4, ntyp = 3
/
ATOMIC_SPECIES
Sn 118.71 Sn.upf
As 74.92 As.upf
Hg 200.59 Hg.upf
ATOMIC_POSITIONS crystal
Sn 0.0737 0.0737 0.7790
Sn 0.2597 0.2597 0.2210
As 0.6681 0.6681 0.9957
Hg 0.4986 0.4986 0.5043
CELL_PARAMETERS angstrom
3.9833 0.0000 0.0000
1.9917 3.4497 0.0000
1.9917 1.1499 7.8479
```

Computed properties:
calculated volume: 107.8 Å³/cell
offset from the most stable computed form: 12 kJ/mol of formula units
formation energy: 15 meV per atom


This record from the Alexandria database describes a geometry-optimized ZrSb2Ru2 structure. The functional is GGA-PBE. Values from VASP.

Quantum ESPRESSO input file:
```
&SYSTEM
  ibrav = 0, nat = 10, ntyp = 3
/
ATOMIC_SPECIES
Sb 121.76 Sb.upf
Ru 101.07 Ru.upf
Zr 91.22 Zr.upf
ATOMIC_POSITIONS crystal
Sb 0.1634 0.6634 0.5000
Sb 0.3366 0.1634 0.5000
Sb 0.8366 0.3366 0.5000
Sb 0.6634 0.8366 0.5000
Ru 0.6331 0.1331 0.0000
Ru 0.3669 0.8669 0.0000
Ru 0.8669 0.6331 0.0000
Ru 0.1331 0.3669 0.0000
Zr 0.0000 0.0000 0.0000
Zr 0.5000 0.5000 0.0000
CELL_PARAMETERS angstrom
7.6314 0.0000 0.0000
0.0000 7.6314 0.0000
0.0000 0.0000 3.2195
```

Computed properties:
formation energy (no corrections): -11.0 kJ/mol of atoms
calculated volume: 187.5 Å³/cell
offset from the most stable computed form: 0 kJ/mol of formula units


This record from the Alexandria database describes a geometry-optimized Be2CoH structure. The functional is GGA-PBE. Values from VASP.

Quantum ESPRESSO input file:
```
&SYSTEM
  ibrav = 0, nat = 4, ntyp = 3
/
ATOMIC_SPECIES
Co 58.93 Co.upf
Be 9.01 Be.upf
H 1.01 H.upf
ATOMIC_POSITIONS crystal
Co 0.5000 0.5000 0.5000
Be 0.7500 0.7500 0.7500
Be 0.2500 0.2500 0.2500
H 0.0000 0.0000 0.0000
CELL_PARAMETERS angstrom
0.0000 2.5025 2.5025
2.5025 0.0000 2.5025
2.5025 2.5025 0.0000
```

Computed properties:
calculated volume: 31.3 Å³/cell
offset from the most stable computed form: 157 kJ/mol of formula units


This record from the Alexandria database describes a geometry-optimized Al2InOs structure. The functional is GGA-PBE. Values from VASP.

Quantum ESPRESSO input file:
```
&SYSTEM
  ibrav = 0, nat = 4, ntyp = 3
/
ATOMIC_SPECIES
In 114.82 In.upf
Al 26.98 Al.upf
Os 190.23 Os.upf
ATOMIC_POSITIONS crystal
In 0.5000 0.0000 0.5000
Al 0.0000 0.0000 0.0000
Al 0.5000 0.5000 0.0000
Os 0.0000 0.5000 0.5000
CELL_PARAMETERS angstrom
3.2365 0.0000 0.0000
0.0000 4.5860 0.0000
0.0000 0.0000 4.4266
```

Computed properties:
calculated volume: 65.7 Å³/cell
formation energy: 223 meV per atom


This record from the Alexandria database describes a geometry-optimized Sr3PdW structure. The functional is GGA-PBE. Values from VASP.

Quantum ESPRESSO input file:
```
&SYSTEM
  ibrav = 0, nat = 5, ntyp = 3
/
ATOMIC_SPECIES
Sr 87.62 Sr.upf
W 183.84 W.upf
Pd 106.42 Pd.upf
ATOMIC_POSITIONS crystal
Sr 0.0000 0.0000 0.5000
Sr 0.0000 0.5000 0.0000
Sr 0.5000 0.0000 0.0000
W 0.5000 0.5000 0.5000
Pd 0.0000 0.0000 0.0000
CELL_PARAMETERS angstrom
5.7962 0.0000 0.0000
0.0000 5.7962 0.0000
0.0000 0.0000 5.7962
```

Computed properties:
calculated volume: 194.7 Å³/cell
offset from the most stable computed form: 0 kJ/mol of formula units
formation energy: 810 meV per atom


This record from the Alexandria database describes a geometry-optimized CoPICl2 structure. The functional is GGA-PBE. Values from VASP.

Quantum ESPRESSO input file:
```
&SYSTEM
  ibrav = 0, nat = 5, ntyp = 4
/
ATOMIC_SPECIES
Cl 35.45 Cl.upf
I 126.90 I.upf
P 30.97 P.upf
Co 58.93 Co.upf
ATOMIC_POSITIONS crystal
Cl 0.0000 0.5000 0.0000
Cl 0.5000 0.0000 0.0000
I 0.0000 0.0000 0.0000
P 0.0000 0.0000 0.5000
Co 0.5000 0.5000 0.5000
CELL_PARAMETERS angstrom
-3.2943 4.1354 -0.9813
-4.2452 -3.2619 0.5049
-0.2056 1.0768 5.2283
```

Computed properties:
formation energy (no corrections): 119.3 kJ/mol of atoms
calculated volume: 154.5 Å³/cell
offset from the most stable computed form: 497 kJ/mol of formula units